Compound: NaNdNiF6
Source: the Alexandria database
Functional: PBE+U
Structure: relaxed

The structure in POSCAR format:
```
NaNdNiF6
1.0
-4.326 1.144 3.659
-1.133 -1.116 -5.557
-0.727 -9.016 1.959
Na Nd Ni F
2 2 2 12
Direct
0.000 0.000 0.000 Na
0.000 0.000 0.500 Na
0.333 0.667 0.250 Nd
0.667 0.333 0.750 Nd
0.667 0.333 0.250 Ni
0.333 0.667 0.750 Ni
0.665 0.631 0.132 F
0.965 0.335 0.132 F
0.335 0.965 0.632 F
0.035 0.665 0.868 F
0.369 0.335 0.368 F
0.965 0.631 0.368 F
0.631 0.965 0.868 F
0.665 0.035 0.368 F
0.035 0.369 0.632 F
0.369 0.035 0.132 F
0.631 0.665 0.632 F
0.335 0.369 0.868 F
```

Summary:
- DOS at the Fermi energy (states/eV per cell) = 0.00
- electronic total energy (eV per atom) = -5.2942